First-principles (GGA-PBEsol) data for an optimized crystal structure of ZrCo13, as listed in Alexandria.

Cell: 7.712 7.712 7.712 Å, 60.00 60.00 60.00°
Last column: magnetic moment on the atom in μB.
Element x y z (fractional)
Co1 0.442 0.798 0.558  1.53
Co2 0.298 0.058 0.702  1.53
Co3 0.942 0.298 0.702  1.53
Co4 0.298 0.942 0.058  1.53
Co5 0.558 0.798 0.202  1.53
Co6 0.558 0.442 0.798  1.53
Co7 0.442 0.202 0.798  1.53
Co8 0.798 0.202 0.558  1.53
Zr1 0.250 0.250 0.250  -0.33
Co9 0.500 0.500 0.500  1.30
Co10 0.058 0.298 0.942  1.53
Co11 0.202 0.798 0.442  1.53
Co12 0.702 0.298 0.058  1.53
Co13 0.558 0.202 0.442  1.53
Co14 0.202 0.442 0.558  1.53
Co15 0.000 0.000 0.000  1.30
Co16 0.058 0.702 0.298  1.53
Co17 0.202 0.558 0.798  1.53
Co18 0.442 0.558 0.202  1.53
Co19 0.798 0.558 0.442  1.53
Co20 0.942 0.058 0.298  1.53
Zr2 0.750 0.750 0.750  -0.33
Co21 0.798 0.442 0.202  1.53
Co22 0.298 0.702 0.942  1.53
Co23 0.702 0.942 0.298  1.53
Co24 0.942 0.702 0.058  1.53
Co25 0.702 0.058 0.942  1.53
Co26 0.058 0.942 0.702  1.53

Crystal system: cubic
Magnetic moment in μB/f.u.: 19.11
Space-group type: Fm-3c, No. 226
Energy of formation in meV per atom: 29.9

***

First-principles (GGA-PBEsol) data for an optimized crystal structure of Zr2Co3, as listed in Alexandria.

Cell: 4.977 4.977 7.157 Å, 99.84 99.84 120.56°
Element x y z (fractional)
Co1 0.312 0.812 0.500
Co2 0.412 0.055 0.253
Zr1 0.981 0.147 0.404
Zr2 0.827 0.493 0.096
Co3 0.062 0.062 0.000
Co4 0.410 0.552 0.247
Zr3 0.397 0.731 0.904
Co5 0.802 0.160 0.747
Zr4 0.743 0.577 0.596
Co6 0.305 0.162 0.753

Crystal system: orthorhombic
Magnetic moment in μB/f.u.: 0.00
Space-group type: Fdd2, No. 43
Energy of formation in meV per atom: -311.0

***

First-principles (GGA-PBEsol) data for an optimized crystal structure of ZrCo, as listed in Alexandria.

Cell: 3.310 3.310 7.310 Å, 90.00 90.00 120.00°
Element x y z (fractional)
Co1 0.333 0.667 0.908
Co2 0.667 0.333 0.092
Zr1 0.667 0.333 0.693
Zr2 0.333 0.667 0.307

Crystal system: trigonal
Magnetic moment in μB/f.u.: 0.00
Space-group type: P-3m1, No. 164
Energy of formation in meV per atom: 180.8

***

First-principles (GGA-PBEsol) data for an optimized crystal structure of ZrCo5, as listed in Alexandria.

Cell: 3.963 4.755 4.755 Å, 120.00 90.00 90.00°
Last column: magnetic moment on the atom in μB.
Element x y z (fractional)
Co1 0.000 0.333 0.667  1.24
Co2 0.500 0.000 0.500  1.41
Co3 0.500 0.500 0.000  1.41
Co4 0.000 0.667 0.333  1.24
Co5 0.500 0.500 0.500  1.41
Zr1 0.000 0.000 0.000  -0.32

Crystal system: hexagonal
Magnetic moment in μB/f.u.: 6.20
Space-group type: P6/mmm, No. 191
Energy of formation in meV per atom: -125.6